No. 1
First-principles (PBE) data for NbTcSn after structural relaxation, as listed in Alexandria via LeMat-Bulk.

Summary:
ΔE_f: -23.9 meV per atom
excess energy over the best structure of this formula in the dataset: 61 meV per atom
space-group type: Cmcm (63)
final energy: -8.17 eV/atom
density of states at the Fermi level: 0.756 states/eV/atom

Cell: 4.7137 9.4035 4.7860 Å, 90.00 90.00 90.00°
Sites, in units of the cell vectors:
Nb1 0.0000 0.0741 0.2500
Nb2 0.0000 0.9259 0.7500
Nb3 0.5000 0.4259 0.7500
Nb4 0.5000 0.5741 0.2500
Tc1 0.0000 0.4249 0.2500
Tc2 0.0000 0.5751 0.7500
Tc3 0.5000 0.0751 0.7500
Tc4 0.5000 0.9249 0.2500
Sn1 0.0000 0.2498 0.7500
Sn2 0.0000 0.7502 0.2500
Sn3 0.5000 0.2502 0.2500
Sn4 0.5000 0.7498 0.7500

No. 2
First-principles (PBE) data for Nb12Tc5Sn3 after structural relaxation, as listed in Alexandria via LeMat-Bulk.

Summary:
ΔE_f: 940.0 meV per atom
space-group type: Ia-3d (230)
final energy: -8.29 eV/atom
density of states at the Fermi level: 1.186 states/eV/atom

Cell: 13.2750 13.2750 13.2750 Å, 109.47 109.47 109.47°
Sites, in units of the cell vectors:
Nb1 0.0466 0.2158 0.1262
Nb2 0.0466 0.3308 0.9204
Nb3 0.0796 0.6262 0.4104
Nb4 0.0796 0.9534 0.6692
Nb5 0.0896 0.7158 0.6692
Nb6 0.0896 0.8738 0.4204
Nb7 0.1262 0.0466 0.2158
Nb8 0.1262 0.5796 0.9104
Nb9 0.1692 0.2158 0.5896
Nb10 0.1692 0.4534 0.5796
Nb11 0.2158 0.1262 0.0466
Nb12 0.2158 0.5896 0.1692
Nb13 0.2842 0.3308 0.9104
Nb14 0.2842 0.4534 0.3738
Nb15 0.3308 0.9104 0.2842
Nb16 0.3308 0.9204 0.0466
Nb17 0.3738 0.2842 0.4534
Nb18 0.3738 0.5896 0.9204
Nb19 0.4104 0.0796 0.6262
Nb20 0.4104 0.8308 0.7842
Nb21 0.4204 0.0896 0.8738
Nb22 0.4204 0.8308 0.5466
Nb23 0.4534 0.3738 0.2842
Nb24 0.4534 0.5796 0.1692
Nb25 0.5466 0.4204 0.8308
Nb26 0.5466 0.6262 0.7158
Nb27 0.5796 0.1692 0.4534
Nb28 0.5796 0.9104 0.1262
Nb29 0.5896 0.1692 0.2158
Nb30 0.5896 0.9204 0.3738
Nb31 0.6262 0.4104 0.0796
Nb32 0.6262 0.7158 0.5466
Nb33 0.6692 0.0796 0.9534
Nb34 0.6692 0.0896 0.7158
Nb35 0.7158 0.5466 0.6262
Nb36 0.7158 0.6692 0.0896
Nb37 0.7842 0.4104 0.8308
Nb38 0.7842 0.8738 0.9534
Nb39 0.8308 0.5466 0.4204
Nb40 0.8308 0.7842 0.4104
Nb41 0.8738 0.4204 0.0896
Nb42 0.8738 0.9534 0.7842
Nb43 0.9104 0.1262 0.5796
Nb44 0.9104 0.2842 0.3308
Nb45 0.9204 0.0466 0.3308
Nb46 0.9204 0.3738 0.5896
Nb47 0.9534 0.6692 0.0796
Nb48 0.9534 0.7842 0.8738
Tc1 0.0000 0.0000 0.0000
Tc2 0.0000 0.0000 0.5000
Tc3 0.0000 0.5000 0.0000
Tc4 0.0000 0.5000 0.5000
Tc5 0.1250 0.7500 0.8750
Tc6 0.1250 0.8750 0.2500
Tc7 0.2500 0.1250 0.8750
Tc8 0.2500 0.6250 0.3750
Tc9 0.3750 0.2500 0.6250
Tc10 0.3750 0.6250 0.7500
Tc11 0.5000 0.0000 0.0000
Tc12 0.5000 0.0000 0.5000
Tc13 0.5000 0.5000 0.0000
Tc14 0.5000 0.5000 0.5000
Tc15 0.6250 0.3750 0.2500
Tc16 0.6250 0.7500 0.3750
Tc17 0.7500 0.3750 0.6250
Tc18 0.7500 0.8750 0.1250
Tc19 0.8750 0.1250 0.7500
Tc20 0.8750 0.2500 0.1250
Sn1 0.1250 0.2500 0.3750
Sn2 0.1250 0.3750 0.7500
Sn3 0.2500 0.3750 0.1250
Sn4 0.2500 0.8750 0.6250
Sn5 0.3750 0.1250 0.2500
Sn6 0.3750 0.7500 0.1250
Sn7 0.6250 0.2500 0.8750
Sn8 0.6250 0.8750 0.7500
Sn9 0.7500 0.1250 0.3750
Sn10 0.7500 0.6250 0.8750
Sn11 0.8750 0.6250 0.2500
Sn12 0.8750 0.7500 0.6250

No. 3
First-principles (PBE) data for NbTcSn after structural relaxation, as listed in Alexandria via LeMat-Bulk.

Summary:
ΔE_f: 55.5 meV per atom
excess energy over the best structure of this formula in the dataset: 140 meV per atom
space-group type: P3m1 (156)
final energy: -8.09 eV/atom
density of states at the Fermi level: 0.718 states/eV/atom

Cell: 4.5860 4.5860 2.9749 Å, 90.00 90.00 120.00°
Sites, in units of the cell vectors:
Nb1 0.0000 0.0000 0.0000
Tc1 0.6667 0.3333 0.3356
Sn1 0.3333 0.6667 0.5105

No. 4
First-principles (PBE) data for NbTcSn after structural relaxation, as listed in Alexandria via LeMat-Bulk.

Summary:
ΔE_f: -14.2 meV per atom
excess energy over the best structure of this formula in the dataset: 71 meV per atom
space-group type: Cmmm (65)
final energy: -8.16 eV/atom
density of states at the Fermi level: 0.690 states/eV/atom

Cell: 4.7739 9.4884 4.6957 Å, 90.00 90.00 90.00°
Sites, in units of the cell vectors:
Nb1 0.0000 0.1766 0.0000
Nb2 0.0000 0.8234 0.0000
Nb3 0.5000 0.3234 0.0000
Nb4 0.5000 0.6766 0.0000
Tc1 0.0000 0.3245 0.5000
Tc2 0.0000 0.6755 0.5000
Tc3 0.5000 0.1755 0.5000
Tc4 0.5000 0.8245 0.5000
Sn1 0.0000 0.0000 0.5000
Sn2 0.0000 0.5000 0.0000
Sn3 0.5000 0.0000 0.0000
Sn4 0.5000 0.5000 0.5000

No. 5
First-principles (PBE) data for NbTcSn after structural relaxation, as listed in Alexandria via LeMat-Bulk.

Summary:
ΔE_f: -85.0 meV per atom
excess energy over the best structure of this formula in the dataset: 0 meV per atom
space-group type: I4mm (107)
final energy: -8.23 eV/atom
density of states at the Fermi level: 0.362 states/eV/atom

Cell: 3.2874 3.2874 9.8446 Å, 90.00 90.00 90.00°
Sites, in units of the cell vectors:
Nb1 0.0000 0.0000 0.0000
Nb2 0.5000 0.5000 0.5000
Tc1 0.0000 0.0000 0.6465
Tc2 0.5000 0.5000 0.1465
Sn1 0.0000 0.0000 0.3141
Sn2 0.5000 0.5000 0.8141

No. 6
First-principles (PBE) data for Nb2TcSn after structural relaxation, as listed in Alexandria via LeMat-Bulk.

Summary:
ΔE_f: -15.4 meV per atom
space-group type: Pm (6)
final energy: -8.64 eV/atom
density of states at the Fermi level: 0.891 states/eV/atom

Cell: 3.0143 4.5853 5.3836 Å, 90.00 99.94 90.00°
Sites, in units of the cell vectors:
Nb1 0.0000 0.0000 0.0000
Nb2 0.2531 0.5000 0.7217
Tc1 0.6972 0.5000 0.1754
Sn1 0.6398 0.0000 0.4797

No. 7
First-principles (PBE) data for Nb2TcSn after structural relaxation, as listed in Alexandria via LeMat-Bulk.

Summary:
ΔE_f: -37.5 meV per atom
space-group type: Pm (6)
final energy: -8.66 eV/atom
density of states at the Fermi level: 0.653 states/eV/atom

Cell: 5.6723 4.5272 5.8399 Å, 90.00 105.56 90.00°
Sites, in units of the cell vectors:
Nb1 0.0000 0.0000 0.0000
Nb2 0.0091 0.0000 0.5052
Nb3 0.2753 0.5000 0.2542
Nb4 0.4773 0.0000 0.9666
Tc1 0.2336 0.5000 0.7284
Tc2 0.4768 0.0000 0.4715
Sn1 0.7292 0.5000 0.7075
Sn2 0.7671 0.5000 0.2108

No. 8
First-principles (PBE) data for Nb3Tc4Sn after structural relaxation, as listed in Alexandria via LeMat-Bulk.

Summary:
ΔE_f: -247.3 meV per atom
space-group type: Pmmm (47)
final energy: -9.71 eV/atom
density of states at the Fermi level: 0.742 states/eV/atom

Cell: 3.2271 4.5083 9.0712 Å, 90.00 90.00 90.00°
Sites, in units of the cell vectors:
Nb1 0.0000 0.0000 0.0000
Nb2 0.0000 0.5000 0.2519
Nb3 0.0000 0.5000 0.7481
Tc1 0.5000 0.0000 0.2411
Tc2 0.5000 0.0000 0.7589
Tc3 0.5000 0.5000 0.0000
Tc4 0.5000 0.5000 0.5000
Sn1 0.0000 0.0000 0.5000